Record 1
{"formula": "Ce2GePd6", "functional": "GGA-PBE", "state": "relaxed", "polymorph_energy_mev_per_atom": 0, "e_form_ev_per_atom": -0.738, "volume_a3_per_cell": 168, "crystal_system": "trigonal", "cell": [[5.731, 0.000, 0.000], [-2.866, 4.963, 0.000], [0.000, 0.000, 5.916]], "species": ["Ce", "Ce", "Ge", "Pd", "Pd", "Pd", "Pd", "Pd", "Pd"], "fractional_positions": [[0.333, 0.667, 0.316], [0.667, 0.333, 0.684], [0.000, 0.000, 0.500], [0.173, 0.346, 0.810], [0.173, 0.827, 0.810], [0.346, 0.173, 0.190], [0.654, 0.827, 0.810], [0.827, 0.173, 0.190], [0.827, 0.654, 0.190]]}

=====

Record 2
{"formula": "Ce2Ge6Pd", "functional": "GGA-PBE", "state": "relaxed", "polymorph_energy_mev_per_atom": 172, "e_form_ev_per_atom": -0.336, "volume_a3_per_cell": 189, "crystal_system": "tetragonal", "cell": [[4.801, 0.000, 0.000], [0.000, 4.801, 0.000], [0.000, 0.000, 8.198]], "species": ["Ce", "Ce", "Ge", "Ge", "Ge", "Ge", "Ge", "Ge", "Pd"], "fractional_positions": [[0.000, 0.000, 0.249], [0.000, 0.000, 0.751], [0.000, 0.500, 0.000], [0.000, 0.500, 0.500], [0.500, 0.000, 0.000], [0.500, 0.000, 0.500], [0.500, 0.500, 0.185], [0.500, 0.500, 0.815], [0.500, 0.500, 0.500]]}

=====

Record 3
{"formula": "Ce2GePd6", "functional": "GGA-PBE", "state": "relaxed", "polymorph_energy_mev_per_atom": 13, "e_form_ev_per_atom": -0.725, "volume_a3_per_cell": 169, "crystal_system": "monoclinic", "cell": [[4.892, -2.862, 0.000], [4.892, 2.862, 0.000], [-1.403, 0.000, 6.021]], "species": ["Ce", "Ce", "Ge", "Pd", "Pd", "Pd", "Pd", "Pd", "Pd"], "fractional_positions": [[0.142, 0.142, 0.329], [0.858, 0.858, 0.671], [0.500, 0.500, 0.500], [0.114, 0.629, 0.182], [0.370, 0.370, 0.799], [0.371, 0.886, 0.818], [0.629, 0.114, 0.182], [0.630, 0.630, 0.201], [0.886, 0.371, 0.818]]}

=====

Record 4
{"formula": "CeGePd", "functional": "GGA-PBE", "state": "relaxed", "e_form_ev_per_atom": -0.435, "volume_a3_per_cell": 303, "crystal_system": "tetragonal", "cell": [[7.157, 0.000, 0.000], [0.000, 7.157, 0.000], [0.000, 0.000, 5.918]], "species": ["Ce", "Ce", "Ce", "Ce", "Ge", "Ge", "Ge", "Ge", "Pd", "Pd", "Pd", "Pd"], "fractional_positions": [[0.216, 0.216, 0.000], [0.284, 0.716, 0.250], [0.716, 0.284, 0.750], [0.784, 0.784, 0.500], [0.087, 0.087, 0.500], [0.413, 0.587, 0.750], [0.587, 0.413, 0.250], [0.913, 0.913, 0.000], [0.176, 0.824, 0.750], [0.324, 0.324, 0.500], [0.676, 0.676, 0.000], [0.824, 0.176, 0.250]]}

=====

Record 5
{"formula": "Ce3Ge4Pd7", "functional": "GGA-PBE", "state": "relaxed", "e_form_ev_per_atom": -0.798, "volume_a3_per_cell": 260, "crystal_system": "monoclinic", "cell": [[7.957, -2.075, 0.000], [7.957, 2.075, 0.000], [-5.653, 0.000, 7.871]], "species": ["Ce", "Ce", "Ce", "Ge", "Ge", "Ge", "Ge", "Pd", "Pd", "Pd", "Pd", "Pd", "Pd", "Pd"], "fractional_positions": [[0.000, 0.000, 0.000], [0.323, 0.323, 0.328], [0.677, 0.677, 0.672], [0.110, 0.110, 0.827], [0.339, 0.339, 0.736], [0.661, 0.661, 0.264], [0.890, 0.890, 0.173], [0.000, 0.000, 0.500], [0.166, 0.166, 0.428], [0.308, 0.308, 0.969], [0.491, 0.491, 0.711], [0.509, 0.509, 0.289], [0.692, 0.692, 0.031], [0.834, 0.834, 0.572]]}

=====

Record 6
{"formula": "CeGe2Pd2", "functional": "GGA-PBE", "state": "relaxed", "e_form_ev_per_atom": -0.784, "volume_a3_per_cell": 95, "crystal_system": "tetragonal", "cell": [[-2.161, 2.161, 5.104], [2.161, -2.161, 5.104], [2.161, 2.161, -5.104]], "species": ["Ce", "Ge", "Ge", "Pd", "Pd"], "fractional_positions": [[0.000, 0.000, 0.000], [0.379, 0.379, 0.000], [0.621, 0.621, 0.000], [0.250, 0.750, 0.500], [0.750, 0.250, 0.500]]}

=====

Record 7
{"formula": "CeGe3Pd5", "functional": "GGA-PBE", "state": "relaxed", "polymorph_energy_mev_per_atom": 0, "e_form_ev_per_atom": -0.688, "volume_a3_per_cell": 623, "crystal_system": "orthorhombic", "cell": [[20.385, 0.000, 0.000], [0.000, 4.136, 0.000], [0.000, 0.000, 7.387]], "species": ["Ce", "Ce", "Ce", "Ce", "Ge", "Ge", "Ge", "Ge", "Ge", "Ge", "Ge", "Ge", "Ge", "Ge", "Ge", "Ge", "Pd", "Pd", "Pd", "Pd", "Pd", "Pd", "Pd", "Pd", "Pd", "Pd", "Pd", "Pd", "Pd", "Pd", "Pd", "Pd", "Pd", "Pd", "Pd", "Pd"], "fractional_positions": [[0.144, 0.250, 0.122], [0.356, 0.750, 0.622], [0.644, 0.250, 0.378], [0.856, 0.750, 0.878], [0.076, 0.750, 0.850], [0.086, 0.750, 0.405], [0.239, 0.250, 0.625], [0.261, 0.750, 0.125], [0.414, 0.250, 0.905], [0.424, 0.250, 0.350], [0.576, 0.750, 0.650], [0.586, 0.750, 0.095], [0.739, 0.250, 0.875], [0.761, 0.750, 0.375], [0.914, 0.250, 0.595], [0.924, 0.250, 0.150], [0.006, 0.750, 0.128], [0.014, 0.250, 0.380], [0.116, 0.250, 0.645], [0.200, 0.750, 0.824], [0.207, 0.750, 0.430], [0.293, 0.250, 0.930], [0.300, 0.250, 0.324], [0.384, 0.750, 0.145], [0.486, 0.750, 0.880], [0.494, 0.250, 0.628], [0.506, 0.750, 0.372], [0.514, 0.250, 0.120], [0.616, 0.250, 0.855], [0.700, 0.750, 0.676], [0.707, 0.750, 0.070], [0.793, 0.250, 0.570], [0.800, 0.250, 0.176], [0.884, 0.750, 0.355], [0.986, 0.750, 0.620], [0.994, 0.250, 0.872]]}

=====

Record 8
{"formula": "Ce5Ge5Pd2", "functional": "GGA-PBE", "state": "relaxed", "polymorph_energy_mev_per_atom": 90, "e_form_ev_per_atom": -0.681, "volume_a3_per_cell": 267, "crystal_system": "monoclinic", "cell": [[5.855, -2.136, 0.000], [5.855, 2.136, 0.000], [-4.192, 0.000, 10.657]], "species": ["Ce", "Ce", "Ce", "Ce", "Ce", "Ge", "Ge", "Ge", "Ge", "Ge", "Pd", "Pd"], "fractional_positions": [[0.000, 0.000, 0.000], [0.331, 0.331, 0.499], [0.370, 0.370, 0.241], [0.630, 0.630, 0.759], [0.669, 0.669, 0.501], [0.000, 0.000, 0.500], [0.079, 0.079, 0.285], [0.291, 0.291, 0.960], [0.709, 0.709, 0.040], [0.921, 0.921, 0.715], [0.322, 0.322, 0.753], [0.678, 0.678, 0.247]]}

=====

Record 9
{"formula": "CeGePd", "functional": "GGA-PBE", "state": "relaxed", "e_form_ev_per_atom": -0.905, "volume_a3_per_cell": 248, "crystal_system": "orthorhombic", "cell": [[7.276, 0.000, 0.000], [0.000, 4.463, 0.000], [0.000, 0.000, 7.622]], "species": ["Ce", "Ce", "Ce", "Ce", "Ge", "Ge", "Ge", "Ge", "Pd", "Pd", "Pd", "Pd"], "fractional_positions": [[0.005, 0.250, 0.212], [0.495, 0.750, 0.712], [0.505, 0.250, 0.288], [0.995, 0.750, 0.788], [0.202, 0.250, 0.589], [0.298, 0.750, 0.089], [0.702, 0.250, 0.911], [0.798, 0.750, 0.411], [0.206, 0.750, 0.419], [0.294, 0.250, 0.919], [0.706, 0.750, 0.081], [0.794, 0.250, 0.581]]}

=====

Record 10
{"formula": "Ce4Ge3Pd", "functional": "GGA-PBE", "state": "relaxed", "e_form_ev_per_atom": -0.696, "volume_a3_per_cell": 196, "crystal_system": "orthorhombic", "cell": [[4.187, 0.000, 0.000], [0.000, 4.226, 0.000], [0.000, 0.000, 11.090]], "species": ["Ce", "Ce", "Ce", "Ce", "Ge", "Ge", "Ge", "Pd"], "fractional_positions": [[0.000, 0.000, 0.000], [0.000, 0.500, 0.499], [0.500, 0.000, 0.280], [0.500, 0.500, 0.781], [0.000, 0.000, 0.723], [0.000, 0.500, 0.218], [0.500, 0.000, 0.557], [0.500, 0.500, 0.063]]}

=====

Record 11
{"formula": "CeGePd", "functional": "GGA-PBE", "state": "relaxed", "e_form_ev_per_atom": -0.736, "volume_a3_per_cell": 69, "crystal_system": "cubic", "cell": [[0.000, 3.250, 3.250], [3.250, 0.000, 3.250], [3.250, 3.250, 0.000]], "species": ["Ce", "Ge", "Pd"], "fractional_positions": [[0.000, 0.000, 0.000], [0.500, 0.500, 0.500], [0.250, 0.250, 0.250]]}

=====

Record 12
{"formula": "CeGePd3", "functional": "GGA-PBE", "state": "relaxed", "e_form_ev_per_atom": -0.716, "volume_a3_per_cell": 190, "crystal_system": "orthorhombic", "cell": [[2.866, -5.668, 0.000], [2.866, 5.668, 0.000], [0.000, 0.000, 5.846]], "species": ["Ce", "Ce", "Ge", "Ge", "Pd", "Pd", "Pd", "Pd", "Pd", "Pd"], "fractional_positions": [[0.242, 0.758, 0.750], [0.758, 0.242, 0.250], [0.116, 0.884, 0.250], [0.884, 0.116, 0.750], [0.262, 0.262, 0.000], [0.262, 0.262, 0.500], [0.330, 0.670, 0.250], [0.670, 0.330, 0.750], [0.738, 0.738, 0.000], [0.738, 0.738, 0.500]]}

=====

Record 13
{"formula": "CeGe2Pd5", "functional": "GGA-PBE", "state": "relaxed", "e_form_ev_per_atom": -0.633, "volume_a3_per_cell": 142, "crystal_system": "orthorhombic", "cell": [[-1.981, 3.626, 4.945], [1.981, -3.626, 4.945], [1.981, 3.626, -4.945]], "species": ["Ce", "Ge", "Ge", "Pd", "Pd", "Pd", "Pd", "Pd"], "fractional_positions": [[0.000, 0.000, 0.000], [0.251, 0.751, 0.500], [0.749, 0.249, 0.500], [0.159, 0.354, 0.805], [0.451, 0.646, 0.805], [0.500, 0.000, 0.500], [0.549, 0.354, 0.195], [0.841, 0.646, 0.195]]}

=====

Record 14
{"formula": "CeGePd4", "functional": "GGA-PBE", "state": "relaxed", "e_form_ev_per_atom": -0.225, "volume_a3_per_cell": 255, "crystal_system": "tetragonal", "cell": [[-2.649, 2.649, 9.091], [2.649, -2.649, 9.091], [2.649, 2.649, -9.091]], "species": ["Ce", "Ce", "Ge", "Ge", "Pd", "Pd", "Pd", "Pd", "Pd", "Pd", "Pd", "Pd"], "fractional_positions": [[0.375, 0.625, 0.750], [0.625, 0.375, 0.250], [0.125, 0.875, 0.250], [0.875, 0.125, 0.750], [0.235, 0.238, 0.503], [0.235, 0.732, 0.997], [0.238, 0.235, 0.003], [0.268, 0.765, 0.503], [0.732, 0.235, 0.497], [0.762, 0.765, 0.997], [0.765, 0.268, 0.003], [0.765, 0.762, 0.497]]}

=====

Record 15
{"formula": "CeGe4Pd4", "functional": "GGA-PBE", "state": "relaxed", "e_form_ev_per_atom": -0.525, "volume_a3_per_cell": 330, "crystal_system": "tetragonal", "cell": [[6.250, 0.000, 0.000], [0.000, 6.250, 0.000], [0.000, 0.000, 8.441]], "species": ["Ce", "Ce", "Ge", "Ge", "Ge", "Ge", "Ge", "Ge", "Ge", "Ge", "Pd", "Pd", "Pd", "Pd", "Pd", "Pd", "Pd", "Pd"], "fractional_positions": [[0.250, 0.750, 0.250], [0.750, 0.250, 0.750], [0.033, 0.250, 0.058], [0.250, 0.033, 0.558], [0.250, 0.467, 0.558], [0.467, 0.250, 0.058], [0.533, 0.750, 0.942], [0.750, 0.533, 0.442], [0.750, 0.967, 0.442], [0.967, 0.750, 0.942], [0.026, 0.250, 0.353], [0.250, 0.026, 0.853], [0.250, 0.474, 0.853], [0.474, 0.250, 0.353], [0.526, 0.750, 0.647], [0.750, 0.526, 0.147], [0.750, 0.974, 0.147], [0.974, 0.750, 0.647]]}

=====

Record 16
{"formula": "Ce3Ge6Pd20", "functional": "GGA-PBE", "state": "relaxed", "e_form_ev_per_atom": -0.633, "volume_a3_per_cell": 496, "crystal_system": "cubic", "cell": [[0.000, 6.282, 6.282], [6.282, 0.000, 6.282], [6.282, 6.282, 0.000]], "species": ["Ce", "Ce", "Ce", "Ge", "Ge", "Ge", "Ge", "Ge", "Ge", "Pd", "Pd", "Pd", "Pd", "Pd", "Pd", "Pd", "Pd", "Pd", "Pd", "Pd", "Pd", "Pd", "Pd", "Pd", "Pd", "Pd", "Pd", "Pd", "Pd"], "fractional_positions": [[0.000, 0.000, 0.000], [0.250, 0.250, 0.250], [0.750, 0.750, 0.750], [0.269, 0.269, 0.731], [0.269, 0.731, 0.269], [0.269, 0.731, 0.731], [0.731, 0.269, 0.269], [0.731, 0.269, 0.731], [0.731, 0.731, 0.269], [0.000, 0.000, 0.348], [0.000, 0.000, 0.652], [0.000, 0.348, 0.000], [0.000, 0.348, 0.652], [0.000, 0.652, 0.000], [0.000, 0.652, 0.348], [0.144, 0.619, 0.619], [0.348, 0.000, 0.000], [0.348, 0.000, 0.652], [0.348, 0.652, 0.000], [0.381, 0.381, 0.381], [0.381, 0.381, 0.856], [0.381, 0.856, 0.381], [0.619, 0.144, 0.619], [0.619, 0.619, 0.144], [0.619, 0.619, 0.619], [0.652, 0.000, 0.000], [0.652, 0.000, 0.348], [0.652, 0.348, 0.000], [0.856, 0.381, 0.381]]}

=====

Record 17
{"formula": "Ce3Ge4Pd2", "functional": "GGA-PBE", "state": "relaxed", "e_form_ev_per_atom": -0.819, "volume_a3_per_cell": 196, "crystal_system": "monoclinic", "cell": [[5.489, -2.191, 0.000], [5.489, 2.191, 0.000], [-2.082, 0.000, 8.130]], "species": ["Ce", "Ce", "Ce", "Ge", "Ge", "Ge", "Ge", "Pd", "Pd"], "fractional_positions": [[0.000, 0.000, 0.000], [0.336, 0.336, 0.334], [0.664, 0.664, 0.666], [0.069, 0.069, 0.401], [0.272, 0.272, 0.935], [0.728, 0.728, 0.065], [0.931, 0.931, 0.599], [0.399, 0.399, 0.727], [0.601, 0.601, 0.273]]}

=====

Record 18
{"formula": "CeGe4Pd12", "functional": "GGA-PBE", "state": "relaxed", "e_form_ev_per_atom": -0.279, "volume_a3_per_cell": 313, "crystal_system": "cubic", "cell": [[-4.276, 4.276, 4.276], [4.276, -4.276, 4.276], [4.276, 4.276, -4.276]], "species": ["Ce", "Ge", "Ge", "Ge", "Ge", "Pd", "Pd", "Pd", "Pd", "Pd", "Pd", "Pd", "Pd", "Pd", "Pd", "Pd", "Pd"], "fractional_positions": [[0.000, 0.000, 0.000], [0.000, 0.000, 0.500], [0.000, 0.500, 0.000], [0.500, 0.000, 0.000], [0.500, 0.500, 0.500], [0.161, 0.504, 0.344], [0.161, 0.817, 0.656], [0.183, 0.344, 0.839], [0.344, 0.161, 0.504], [0.344, 0.839, 0.183], [0.496, 0.656, 0.839], [0.504, 0.344, 0.161], [0.656, 0.161, 0.817], [0.656, 0.839, 0.496], [0.817, 0.656, 0.161], [0.839, 0.183, 0.344], [0.839, 0.496, 0.656]]}

=====

Record 19
{"formula": "CeGe2Pd3", "functional": "GGA-PBE", "state": "relaxed", "e_form_ev_per_atom": -0.763, "volume_a3_per_cell": 329, "crystal_system": "monoclinic", "cell": [[8.389, -2.048, 0.000], [8.389, 2.048, 0.000], [-3.170, 0.000, 9.582]], "species": ["Ce", "Ce", "Ce", "Ge", "Ge", "Ge", "Ge", "Ge", "Ge", "Pd", "Pd", "Pd", "Pd", "Pd", "Pd", "Pd", "Pd", "Pd"], "fractional_positions": [[0.000, 0.000, 0.000], [0.158, 0.158, 0.698], [0.842, 0.842, 0.302], [0.199, 0.199, 0.133], [0.363, 0.363, 0.547], [0.459, 0.459, 0.221], [0.541, 0.541, 0.779], [0.637, 0.637, 0.453], [0.801, 0.801, 0.867], [0.041, 0.041, 0.332], [0.218, 0.218, 0.393], [0.319, 0.319, 0.032], [0.382, 0.382, 0.805], [0.500, 0.500, 0.500], [0.618, 0.618, 0.195], [0.681, 0.681, 0.968], [0.782, 0.782, 0.607], [0.959, 0.959, 0.668]]}

=====

Record 20
{"formula": "CePmGePd", "functional": "GGA-PBE", "state": "relaxed", "e_form_ev_per_atom": -0.649, "volume_a3_per_cell": 96, "crystal_system": "cubic", "cell": [[0.000, 3.636, 3.636], [3.636, 0.000, 3.636], [3.636, 3.636, 0.000]], "species": ["Ce", "Pm", "Ge", "Pd"], "fractional_positions": [[0.000, 0.000, 0.000], [0.500, 0.500, 0.500], [0.750, 0.750, 0.750], [0.250, 0.250, 0.250]]}